(1)
A relaxed structure of Cs8PbAu2. Source: Alexandria, functional PBE-GGA.

Lattice parameters (Å, degrees): 10.111 10.111 7.322 97.51 97.51 111.14
Fractional coordinates of all 11 atoms:
Cs 0.058 0.318 0.585
Cs 0.238 0.762 0.000
Cs 0.318 0.058 0.585
Cs 0.361 0.361 0.198
Cs 0.639 0.639 0.802
Cs 0.682 0.942 0.415
Cs 0.762 0.238 0.000
Cs 0.942 0.682 0.415
Pb 0.000 0.000 0.000
Au 0.316 0.684 0.500
Au 0.684 0.316 0.500

Energy of formation = -125 meV per atom
Crystal system = monoclinic
Space-group type = No. 12



(2)
A relaxed structure of Li3SnP6O18. Source: Alexandria, functional PBE-GGA.

Lattice parameters (Å, degrees): 7.321 7.562 7.739 111.00 99.56 109.76
Fractional coordinates of all 28 atoms:
Li 0.000 0.000 0.000
Li 0.060 0.409 0.324
Li 0.877 0.561 0.613
Sn 0.565 0.617 0.107
P 0.051 0.876 0.382
P 0.168 0.306 0.671
P 0.375 0.875 0.892
P 0.382 0.228 0.393
P 0.604 0.831 0.618
P 0.711 0.232 0.923
O 0.016 0.679 0.401
O 0.030 0.373 0.571
O 0.067 0.052 0.588
O 0.156 0.820 0.875
O 0.235 0.248 0.248
O 0.240 0.401 0.893
O 0.271 0.981 0.361
O 0.374 0.349 0.612
O 0.398 0.765 0.680
O 0.489 0.121 0.945
O 0.509 0.840 0.038
O 0.525 0.735 0.397
O 0.602 0.295 0.410
O 0.676 0.082 0.698
O 0.724 0.440 0.933
O 0.761 0.785 0.719
O 0.878 0.224 0.055
O 0.886 0.861 0.218

Crystal system = triclinic
Raw formation energy = -2.083 eV per atom
Space-group type = No. 1



(3)
A relaxed structure of KRuPt2. Source: Alexandria, functional PBE-GGA.

Lattice parameters (Å, degrees): 6.079 6.079 6.079 153.87 128.30 58.82
Fractional coordinates of all 4 atoms:
K 0.000 0.000 0.000
Ru 0.500 0.500 0.000
Pt 0.288 0.788 0.500
Pt 0.712 0.212 0.500

Energy of formation = 607 meV per atom
Crystal system = orthorhombic
Distance to the lowest polymorph of the same formula = 457 meV/atom
Space-group type = No. 71



(4)
A relaxed structure of LaPuMn2. Source: Alexandria, functional PBE-GGA.

Lattice parameters (Å, degrees): 3.485 3.485 7.047 90.00 90.00 90.00
Fractional coordinates of all 4 atoms:
La 0.000 0.000 0.000
Pu 0.000 0.000 0.500
Mn 0.500 0.500 0.307
Mn 0.500 0.500 0.693

Energy of formation = 122 meV per atom
Crystal system = tetragonal
Space-group type = No. 123



(5)
A relaxed structure of Cd2SbI. Source: Alexandria, functional PBE-GGA.

Lattice parameters (Å, degrees): 8.738 8.738 8.738 30.35 30.35 30.35
Fractional coordinates of all 4 atoms:
Cd 0.113 0.113 0.113
Cd 0.887 0.887 0.887
Sb 0.500 0.500 0.500
I 0.000 0.000 0.000

Crystal system = trigonal
Distance to the lowest polymorph of the same formula = 119 meV/atom
Raw formation energy = -0.132 eV per atom
Space-group type = No. 166



(6)
A relaxed structure of NbCd3N. Source: Alexandria, functional PBE-GGA.

Lattice parameters (Å, degrees): 5.443 5.443 5.443 90.00 90.00 90.00
Fractional coordinates of all 5 atoms:
Nb 0.000 0.000 0.000
Cd 0.000 0.000 0.500
Cd 0.000 0.500 0.000
Cd 0.500 0.000 0.000
N 0.500 0.500 0.500

Crystal system = cubic
Distance to the lowest polymorph of the same formula = 1253 meV/atom
Raw formation energy = 2.215 eV per atom
Space-group type = No. 221



(7)
A relaxed structure of Ba2IBr2. Source: Alexandria, functional PBE-GGA.

Lattice parameters (Å, degrees): 9.459 9.459 4.196 90.00 90.00 90.00
Fractional coordinates of all 10 atoms:
Ba 0.163 0.337 0.000
Ba 0.337 0.837 0.000
Ba 0.663 0.163 0.000
Ba 0.837 0.663 0.000
I 0.000 0.000 0.000
I 0.500 0.500 0.000
Br 0.134 0.634 0.500
Br 0.366 0.134 0.500
Br 0.634 0.866 0.500
Br 0.866 0.366 0.500

Crystal system = tetragonal
Distance to the lowest polymorph of the same formula = 0 meV/atom
Raw formation energy = -1.753 eV per atom
Space-group type = No. 127



(8)
A relaxed structure of AlZn11Sn. Source: Alexandria, functional PBE-GGA.

Lattice parameters (Å, degrees): 6.872 6.872 6.853 98.83 98.83 133.48
Fractional coordinates of all 13 atoms:
Al 0.000 0.000 0.000
Zn 0.000 0.352 0.851
Zn 0.000 0.500 0.500
Zn 0.000 0.648 0.149
Zn 0.278 0.504 0.277
Zn 0.352 0.000 0.851
Zn 0.496 0.722 0.723
Zn 0.500 0.000 0.500
Zn 0.500 0.500 0.000
Zn 0.504 0.278 0.277
Zn 0.648 0.000 0.149
Zn 0.722 0.496 0.723
Sn 0.000 0.000 0.500

Energy of formation = 63 meV per atom
Crystal system = monoclinic
Space-group type = No. 12



(9)
A relaxed structure of Hf3HCN. Source: Alexandria, functional PBE-GGA.

Lattice parameters (Å, degrees): 6.469 3.187 7.236 90.00 103.11 90.00
Fractional coordinates of all 12 atoms:
Hf 0.085 0.250 0.347
Hf 0.237 0.250 0.989
Hf 0.409 0.750 0.643
Hf 0.591 0.250 0.357
Hf 0.763 0.750 0.011
Hf 0.915 0.750 0.653
H 0.421 0.750 0.923
H 0.579 0.250 0.077
C 0.322 0.750 0.290
C 0.678 0.250 0.710
N 0.165 0.250 0.668
N 0.835 0.750 0.332

Crystal system = monoclinic
Raw total energy = -9.3860 eV/atom
Space-group type = No. 11



(10)
A relaxed structure of TiAl4Ga. Source: Alexandria, functional PBE-GGA.

Lattice parameters (Å, degrees): 5.231 5.231 5.231 60.00 60.00 60.00
Fractional coordinates of all 6 atoms:
Ti 0.000 0.000 0.000
Al 0.124 0.625 0.625
Al 0.625 0.124 0.625
Al 0.625 0.625 0.124
Al 0.625 0.625 0.625
Ga 0.250 0.250 0.250

Energy of formation = -55 meV per atom
Crystal system = cubic
Distance to the lowest polymorph of the same formula = 121 meV/atom
Space-group type = No. 216



(11)
A relaxed structure of Rb4U3InTe8. Source: Alexandria, functional PBE-GGA.

Lattice parameters (Å, degrees): 9.962 9.962 9.962 55.99 55.99 55.99
Fractional coordinates of all 16 atoms:
Rb 0.000 0.000 0.000
Rb 0.000 0.500 0.500
Rb 0.500 0.000 0.500
Rb 0.500 0.500 0.000
U 0.000 0.000 0.500
U 0.000 0.500 0.000
U 0.500 0.000 0.000
In 0.500 0.500 0.500
Te 0.214 0.741 0.741
Te 0.233 0.233 0.233
Te 0.259 0.259 0.786
Te 0.259 0.786 0.259
Te 0.741 0.214 0.741
Te 0.741 0.741 0.214
Te 0.767 0.767 0.767
Te 0.786 0.259 0.259

Crystal system = trigonal
Raw formation energy = -0.808 eV per atom
Space-group type = No. 166



(12)
A relaxed structure of GaHgRuS. Source: Alexandria, functional PBE-GGA.

Lattice parameters (Å, degrees): 3.080 4.717 6.330 106.74 90.01 108.90
Fractional coordinates of all 4 atoms:
Ga 0.000 0.000 0.000
Hg 0.188 0.378 0.661
Ru 0.735 0.472 0.056
S 0.315 0.633 0.336

Crystal system = triclinic
Distance to the lowest polymorph of the same formula = 45 meV/atom
Raw formation energy = -0.100 eV per atom
Space-group type = No. 1